DFT (PBE-GGA) results for Sc2TiV after structural relaxation.

abc: 10.354 10.354 10.354
angles: 16.54 16.54 16.54
Positions (direct):
Sc 0.087 0.087 0.087
Sc 0.913 0.913 0.913
Ti 0.500 0.500 0.500
V 0.000 0.000 0.000

- ΔH_f (0 K) (meV per atom) = 451.6
- DOS(E_F) (states/eV/atom) = 1.286
- excess energy over the best structure of this formula in the dataset (meV per atom) = 192
- E (eV per atom) = -6.968